(1)
## PRhBr4 (GGA-PBE)

Data for a relaxed PRhBr4 crystal.

Properties
Formation energy without anion corrections, eV per atom: 1.43
Density of states at the Fermi level, states/eV/f.u.: 7.1

Unit cell a=8.756 b=8.756 c=8.756 alpha=90.00 beta=90.00 gamma=90.00
Space group F-43m (No. 216)
One atom of each set of equivalent atoms:
P1 0.000 0.000 0.000
Rh1 0.250 0.250 0.750
Br1 0.124 0.124 0.376

***

(2)
## SrP2S2 (GGA-PBE)

Data for a relaxed SrP2S2 crystal.

Properties
Offset from the most stable computed form, eV per atom: 0.000
Formation energy without anion corrections, eV per atom: -0.42
Density of states at the Fermi level, states/eV/f.u.: 0.3

Unit cell a=8.010 b=8.010 c=3.468 alpha=90.00 beta=90.00 gamma=90.00
Space group P4/mbm (No. 127)
One atom of each set of equivalent atoms:
Sr1 0.000 0.000 0.000
P1 0.226 0.274 0.500
S1 0.149 0.649 0.000

***

(3)
## LaMnBe2 (GGA-PBE)

Data for a relaxed LaMnBe2 crystal.

Properties
Offset from the most stable computed form, eV per atom: 0.531
E_form, eV per atom: 0.628
Density of states at the Fermi level, states/eV/f.u.: 1.8

Unit cell a=5.162 b=7.814 c=3.083 alpha=90.00 beta=90.00 gamma=90.00
Space group Cmmm (No. 65)
One atom of each set of equivalent atoms:
La1 0.000 0.000 0.000
Mn1 0.000 0.500 0.000
Be1 0.250 0.250 0.500

***

(4)
## Sc4CdPt (GGA-PBE)

Data for a relaxed Sc4CdPt crystal.

Properties
Offset from the most stable computed form, eV per atom: 0.245
E_form, eV per atom: -0.348
Density of states at the Fermi level, states/eV/f.u.: 8.9

Unit cell a=4.6999 b=4.6999 c=23.0674 alpha=90.00 beta=90.00 gamma=120.00
Space group R-3m (No. 166, hexagonal axes)
One atom of each set of equivalent atoms:
Sc1 0.0000 0.0000 0.1162
Sc2 0.0000 0.0000 0.3677
Cd1 0.0000 0.0000 0.5000
Pt1 0.0000 0.0000 0.0000

***

(5)
## Pd2Au2Cl (GGA-PBE)

Data for a relaxed Pd2Au2Cl crystal.

Properties
Formation energy without anion corrections, eV per atom: 0.15
Density of states at the Fermi level, states/eV/f.u.: 5.4

Unit cell a=6.883 b=6.883 c=3.878 alpha=90.00 beta=90.00 gamma=90.00
Space group P4/mbm (No. 127)
One atom of each set of equivalent atoms:
Pd1 0.155 0.345 0.000
Au1 0.146 0.646 0.500
Cl1 0.000 0.000 0.000

***

(6)
## CaZr3Ta (GGA-PBE)

Data for a relaxed CaZr3Ta crystal.

Properties
Offset from the most stable computed form, eV per atom: 0.000
E_form, eV per atom: 0.701
Density of states at the Fermi level, states/eV/f.u.: 10.5

Unit cell a=5.248 b=5.248 c=5.248 alpha=90.00 beta=90.00 gamma=90.00
Space group Pm-3m (No. 221)
One atom of each set of equivalent atoms:
Ca1 0.000 0.000 0.000
Zr1 0.000 0.500 0.500
Ta1 0.500 0.500 0.500

***

(7)
## PrTm2In (GGA-PBE)

Data for a relaxed PrTm2In crystal.

Properties
Offset from the most stable computed form, eV per atom: 0.126
E_form, eV per atom: -0.126
Density of states at the Fermi level, states/eV/f.u.: 5.4

Unit cell a=3.5735 b=3.5735 c=32.9220 alpha=90.00 beta=90.00 gamma=120.00
Space group R3m (No. 160, hexagonal axes)
One atom of each set of equivalent atoms:
Pr1 0.0000 0.0000 0.0000
Tm1 0.0000 0.0000 0.2427
Tm2 0.0000 0.0000 0.4237
In1 0.0000 0.0000 0.8335

***

(8)
## RbMo2As2 (GGA-PBE)

Data for a relaxed RbMo2As2 crystal.

Properties
Offset from the most stable computed form, eV per atom: 0.476
E_form, eV per atom: 0.188
Density of states at the Fermi level, states/eV/f.u.: 3.1

Unit cell a=4.928 b=4.928 c=8.959 alpha=90.00 beta=90.00 gamma=90.00
Space group I4/mmm (No. 139)
One atom of each set of equivalent atoms:
Rb1 0.000 0.000 0.000
Mo1 0.000 0.000 0.376
As1 0.000 0.500 0.250

***

(9)
## HfTcNi (GGA-PBE)

Data for a relaxed HfTcNi crystal.

Properties
Offset from the most stable computed form, eV per atom: 0.143
E_form, eV per atom: -0.203
Density of states at the Fermi level, states/eV/f.u.: 4.3

Unit cell a=4.4238 b=4.4238 c=5.4443 alpha=90.00 beta=90.00 gamma=120.00
Space group P3m1 (No. 156)
One atom of each set of equivalent atoms:
Hf1 0.0000 0.0000 0.0000
Hf2 0.3333 0.6667 0.6169
Tc1 0.3333 0.6667 0.1283
Tc2 0.6667 0.3333 0.8133
Ni1 0.0000 0.0000 0.4938
Ni2 0.6667 0.3333 0.3205

***

(10)
## GaSn2Br4 (GGA-PBE)

Data for a relaxed GaSn2Br4 crystal.

Properties
Formation energy without anion corrections, eV per atom: -0.37
Density of states at the Fermi level, states/eV/f.u.: 2.3

Unit cell a=6.048 b=6.048 c=14.400 alpha=90.00 beta=90.00 gamma=90.00
Space group I4/mmm (No. 139)
One atom of each set of equivalent atoms:
Ga1 0.000 0.000 0.000
Sn1 0.000 0.000 0.394
Br1 0.000 0.000 0.211
Br2 0.000 0.500 0.000

***

(11)
## AcMgGa2Rh (GGA-PBE)

Data for a relaxed AcMgGa2Rh crystal.

Properties
E_form, eV per atom: -0.582
Density of states at the Fermi level, states/eV/f.u.: 3.8

Unit cell a=4.355 b=4.367 c=11.466 alpha=90.00 beta=90.00 gamma=90.00
Space group Imm2 (No. 44)
One atom of each set of equivalent atoms:
Ac1 0.000 0.000 0.000
Mg1 0.000 0.500 0.755
Ga1 0.000 0.000 0.609
Ga2 0.000 0.500 0.260
Rh1 0.000 0.000 0.389

***

(12)
## SrCa2Tc (GGA-PBE)

Data for a relaxed SrCa2Tc crystal.

Properties
Offset from the most stable computed form, eV per atom: 0.159
E_form, eV per atom: 0.647
Density of states at the Fermi level, states/eV/f.u.: 5.9

Unit cell a=7.804 b=7.804 c=7.804 alpha=90.00 beta=90.00 gamma=90.00
Space group F-43m (No. 216)
One atom of each set of equivalent atoms:
Sr1 0.000 0.000 0.000
Ca1 0.000 0.000 0.500
Ca2 0.250 0.250 0.250
Tc1 0.250 0.250 0.750

***

density of states at the Fermi level of number 7 (PrTm2In)?
5.4 states/eV/f.u.